Version i
Density functional theory data (GGA-PBE) for an optimized crystal structure of Sr2GaAg3.

Output
- DOS at the Fermi energy (states/eV per cell) = 7.3

Lattice parameters (Å, degrees): 9.532 9.242 6.277 72.98 67.99 39.03
Fractional positions:
Sr 0.245 0.755 0.755
Sr 0.250 0.250 0.250
Sr 0.750 0.750 0.750
Sr 0.755 0.245 0.245
Ga 0.333 0.333 0.667
Ga 0.667 0.667 0.333
Ag 0.172 0.172 0.828
Ag 0.173 0.657 0.343
Ag 0.343 0.827 0.173
Ag 0.657 0.173 0.827
Ag 0.827 0.343 0.657
Ag 0.828 0.828 0.172


Version ii
Density functional theory data (GGA-PBE) for an optimized crystal structure of Sr2GaAg3.

Output
- DOS at the Fermi energy (states/eV per cell) = 3.3

Lattice parameters (Å, degrees): 4.153 4.722 8.236 90.00 90.00 90.00
Fractional positions:
Sr 0.000 0.000 0.000
Sr 0.000 0.500 0.494
Ga 0.500 0.500 0.822
Ag 0.500 0.000 0.334
Ag 0.500 0.000 0.677
Ag 0.500 0.500 0.147


Most stable of them? version ii.


Version i
Density functional theory data (GGA-PBE) for an optimized crystal structure of SrZnGa2Ag.

Output
- DOS at the Fermi energy (states/eV per cell) = 1.8

Lattice parameters (Å, degrees): 6.280 6.280 6.280 138.32 138.32 60.41
Fractional positions:
Sr 0.000 0.000 0.000
Zn 0.750 0.250 0.500
Ga 0.381 0.381 0.000
Ga 0.619 0.619 0.000
Ag 0.250 0.750 0.500


Version ii
Density functional theory data (GGA-PBE) for an optimized crystal structure of SrZnGa2Ag.

Output
- DOS at the Fermi energy (states/eV per cell) = 1.7

Lattice parameters (Å, degrees): 4.930 4.930 5.011 90.00 90.00 90.00
Fractional positions:
Sr 0.000 0.000 0.000
Zn 0.500 0.500 0.500
Ga 0.000 0.500 0.500
Ga 0.500 0.000 0.500
Ag 0.500 0.500 0.000


Most stable of them? version i.